# 1
Th2NiIr: relaxed, PBE-GGA.

It has space group P2_1/m (No. 11), with a = 5.9245 Å, b = 4.2777 Å, c = 7.6509 Å, α = 90.00°, β = 109.74° and γ = 90.00°. The distinct sites, in fractional coordinates, are Th at (0.2290, 0.2500, 0.4351), Th at (0.2300, 0.2500, 0.9337), Ni at (0.3163, 0.7500, 0.7039) and Ir at (0.3126, 0.7500, 0.2079).

The calculation puts the formation energy at -3.00 eV/f.u.

# 2
ZrFeSiHg: relaxed, PBE-GGA.

It has space group F-43m (No. 216), with a = 6.5150 Å, b = 6.5150 Å, c = 6.5150 Å, α = 90.00°, β = 90.00° and γ = 90.00°. The distinct sites, in fractional coordinates, are Zr at (0.0000, 0.0000, 0.0000), Fe at (0.2500, 0.2500, 0.7500), Si at (0.0000, 0.0000, 0.5000) and Hg at (0.2500, 0.2500, 0.2500).

Calculated values (eV/cell) of final energy for the records, taken in order: -64.50 -86.35.